Record 1
Below is crystalline K3Nd3UO8 at its relaxed geometry, with properties calculated at the GGA-PBE level.

The theoretical density is 5.279 g/cm³. Its magnetic moment is 0.134 μB per atom. The calculation puts the formation energy without anion corrections at -2722 meV per atom. Its calculated total energy is -109.38 eV per cell.

a b c (Å): 7.625 7.625 7.625
angles (deg): 56.50 56.50 56.50
Positions (direct):
K: 0.000 0.500 0.500
K: 0.500 0.000 0.500
K: 0.500 0.500 0.000
Nd: 0.000 0.000 0.500
Nd: 0.000 0.500 0.000
Nd: 0.500 0.000 0.000
U: 0.500 0.500 0.500
O: 0.230 0.230 0.230
O: 0.250 0.714 0.714
O: 0.286 0.286 0.750
O: 0.286 0.750 0.286
O: 0.714 0.250 0.714
O: 0.714 0.714 0.250
O: 0.750 0.286 0.286
O: 0.770 0.770 0.770

Record 2
Below is crystalline K2Nd2UO6 at its relaxed geometry, with properties calculated at the GGA-PBE level.

The theoretical density is 5.395 g/cm³. Its magnetic moment is 0.183 μB per atom. The calculation puts the formation energy without anion corrections at -2753 meV per atom. Its calculated total energy is -83.06 eV per cell.

a b c (Å): 6.240 6.240 6.699
angles (deg): 98.56 98.56 120.01
Positions (direct):
K: 0.166 0.834 0.000
K: 0.834 0.166 0.000
Nd: 0.334 0.666 0.500
Nd: 0.666 0.334 0.500
U: 0.000 0.000 0.500
O: 0.047 0.374 0.677
O: 0.246 0.246 0.325
O: 0.374 0.047 0.677
O: 0.626 0.953 0.323
O: 0.754 0.754 0.675
O: 0.953 0.626 0.323

Record 3
Below is crystalline K2NdUO6 at its relaxed geometry, with properties calculated at the GGA-PBE level.

The theoretical density is 5.348 g/cm³. Its magnetic moment is 0.075 μB per atom. The calculation puts the formation energy without anion corrections at -2628 meV per atom. Its calculated total energy is -74.28 eV per cell.

a b c (Å): 6.252 6.252 6.252
angles (deg): 60.00 60.00 60.00
Positions (direct):
K: 0.250 0.250 0.250
K: 0.750 0.750 0.750
Nd: 0.000 0.000 0.000
U: 0.500 0.500 0.500
O: 0.266 0.266 0.734
O: 0.266 0.734 0.266
O: 0.266 0.734 0.734
O: 0.734 0.266 0.266
O: 0.734 0.266 0.734
O: 0.734 0.734 0.266

Record 4
Below is crystalline K4NdU3O12 at its relaxed geometry, with properties calculated at the GGA-PBE level.

The theoretical density is 6.026 g/cm³. Its magnetic moment is 0.050 μB per atom. The calculation puts the formation energy without anion corrections at -2894 meV per atom. Its calculated total energy is -160.41 eV per cell.

a b c (Å): 7.559 7.559 7.559
angles (deg): 109.47 109.47 109.47
Positions (direct):
K: 0.000 0.000 0.500
K: 0.000 0.500 0.000
K: 0.500 0.000 0.000
K: 0.500 0.500 0.500
Nd: 0.000 0.000 0.000
U: 0.000 0.500 0.500
U: 0.500 0.000 0.500
U: 0.500 0.500 0.000
O: 0.000 0.269 0.269
O: 0.000 0.731 0.731
O: 0.250 0.500 0.750
O: 0.250 0.750 0.500
O: 0.269 0.000 0.269
O: 0.269 0.269 0.000
O: 0.500 0.250 0.750
O: 0.500 0.750 0.250
O: 0.731 0.000 0.731
O: 0.731 0.731 0.000
O: 0.750 0.250 0.500
O: 0.750 0.500 0.250